Here is an optimized crystal structure of In2SbPdPb from Alexandria via LeMat-Bulk. Energies are from GGA-PBE.

Summary:
- calculated volume (Å³/cell) = 191.5
- mass density (g cm⁻³) = 5.8
- crystal system = tetragonal
- raw formation energy (eV per atom) = 0.904
- total energy (hartree per atom) = -0.103
- excess energy over the best structure of this formula in the dataset (meV per atom) = 539

Cell lengths 5.7167, 5.7167, 5.8582 Å; angles 90.00, 90.00, 90.00 degrees
Last column: nearest neighbours and their distance in Å.
Space group P4/mmm (No. 123)
Inequivalent atoms, fractional coordinates:
In (0.0000, 0.5000, 0.0000) x2  2 Pb 2.86
Sb (0.0000, 0.0000, 0.5000) x1  2 Pb 2.93
Pd (0.5000, 0.5000, 0.5000) x1  4 Sb 4.04, 8 In 4.09
Pb (0.0000, 0.0000, 0.0000) x1  4 In 2.86, 2 Sb 2.93

Here is an optimized crystal structure of SmInPdPb from Alexandria via LeMat-Bulk. Energies are from GGA-PBE.

Summary:
- calculated volume (Å³/cell) = 388.0
- mass density (g cm⁻³) = 9.9
- crystal system = cubic
- total energy (hartree per atom) = -0.165

Cell lengths 7.2938, 7.2938, 7.2938 Å; angles 90.00, 90.00, 90.00 degrees
Last column: nearest neighbours and their distance in Å.
Space group F-43m (No. 216)
Inequivalent atoms, fractional coordinates:
Sm (0.0000, 0.0000, 0.0000) x4  4 In 3.16, 4 Pd 3.16
In (0.2500, 0.2500, 0.7500) x4  4 Pb 3.16, 4 Sm 3.16
Pd (0.2500, 0.2500, 0.2500) x4  4 Pb 3.16, 4 Sm 3.16
Pb (0.0000, 0.0000, 0.5000) x4  4 In 3.16, 4 Pd 3.16

Here is an optimized crystal structure of Sr2InPdPb from Alexandria via LeMat-Bulk. Energies are from GGA-PBE.

Summary:
- calculated volume (Å³/cell) = 172.1
- mass density (g cm⁻³) = 5.8
- crystal system = tetragonal
- total energy (hartree per atom) = -0.126

Cell lengths 5.7617, 5.7617, 5.1855 Å; angles 90.00, 90.00, 90.00 degrees
Last column: nearest neighbours and their distance in Å.
Space group P4/mmm (No. 123)
Inequivalent atoms, fractional coordinates:
Sr (0.0000, 0.5000, 0.0000) x2  2 Pd 2.88
In (0.0000, 0.0000, 0.5000) x1  2 Pd 2.59
Pd (0.0000, 0.0000, 0.0000) x1  2 In 2.59, 4 Sr 2.88
Pb (0.5000, 0.5000, 0.5000) x1  8 Sr 3.88, 4 In 4.07

Here is an optimized crystal structure of Sr2In3Pd4Pb from Alexandria via LeMat-Bulk. Energies are from GGA-PBE.

Summary:
- calculated volume (Å³/cell) = 245.7
- mass density (g cm⁻³) = 7.8
- crystal system = tetragonal
- total energy (hartree per atom) = -0.154

Cell lengths 4.7864, 4.7864, 10.7254 Å; angles 90.00, 90.00, 90.00 degrees
Last column: nearest neighbours and their distance in Å.
Space group P-4m2 (No. 115)
Inequivalent atoms, fractional coordinates:
Sr (0.0000, 0.5000, 0.2352) x2  8 Pd 3.48-3.66, 7 In 3.61-3.79, 2 Pb 3.71
In (0.0000, 0.5000, 0.8822) x2  5 Pd 2.66-2.71
In (0.5000, 0.5000, 0.5000) x1  4 Pd 2.79
Pd (0.0000, 0.0000, 0.0000) x1  4 In 2.71
Pd (0.0000, 0.5000, 0.6342) x2  3 In 2.66-2.79, 2 Pb 2.79
Pd (0.5000, 0.5000, 0.0000) x1  4 In 2.71
Pb (0.0000, 0.0000, 0.5000) x1  4 Pd 2.79

Here is an optimized crystal structure of SrIn2PdPb from Alexandria via LeMat-Bulk. Energies are from GGA-PBE.

Summary:
- calculated volume (Å³/cell) = 153.9
- mass density (g cm⁻³) = 6.8
- crystal system = tetragonal
- total energy (hartree per atom) = -0.129

Cell lengths 5.2006, 5.2006, 5.6904 Å; angles 90.00, 90.00, 90.00 degrees
Last column: nearest neighbours and their distance in Å.
Space group P4/mmm (No. 123)
Inequivalent atoms, fractional coordinates:
Sr (0.0000, 0.0000, 0.0000) x1  2 Pd 2.85
In (0.0000, 0.5000, 0.5000) x2  2 Pd 2.60
Pd (0.0000, 0.0000, 0.5000) x1  4 In 2.60, 2 Sr 2.85
Pb (0.5000, 0.5000, 0.0000) x1  4 Sr 3.68, 8 In 3.85

Here is an optimized crystal structure of Sr2In2Pd5Pb from Alexandria via LeMat-Bulk. Energies are from GGA-PBE.

Summary:
- calculated volume (Å³/cell) = 444.6
- mass density (g cm⁻³) = 8.5
- crystal system = tetragonal
- total energy (hartree per atom) = -0.159

Cell lengths 10.8906, 10.8906, 3.7489 Å; angles 90.00, 90.00, 90.00 degrees
Last column: nearest neighbours and their distance in Å.
Space group P4/mbm (No. 127)
Inequivalent atoms, fractional coordinates:
Sr (0.1738, 0.3262, 0.0000) x4  3 In 3.09-3.30, 6 Pd 3.27-3.42
In (0.1255, 0.6255, 0.0000) x4  6 Pd 2.69-2.77
Pd (0.0000, 0.5000, 0.5000) x2  4 In 2.69
Pd (0.0574, 0.7994, 0.5000) x8  2 In 2.77, 2 Pb 2.95
Pb (0.0000, 0.0000, 0.0000) x2  8 Pd 2.95

Here is an optimized crystal structure of TiInPd2Pb from Alexandria via LeMat-Bulk. Energies are from GGA-PBE.

Summary:
- calculated volume (Å³/cell) = 131.7
- mass density (g cm⁻³) = 7.3
- crystal system = tetragonal
- total energy (hartree per atom) = -0.155

Cell lengths 5.0510, 5.0510, 5.1630 Å; angles 90.00, 90.00, 90.00 degrees
Last column: nearest neighbours and their distance in Å.
Space group P4/mmm (No. 123)
Inequivalent atoms, fractional coordinates:
Ti (0.0000, 0.0000, 0.0000) x1  2 Pb 2.58
In (0.5000, 0.5000, 0.0000) x1  4 Ti 3.57, 8 Pd 3.61
Pd (0.0000, 0.5000, 0.5000) x2  2 Pb 2.53
Pb (0.0000, 0.0000, 0.5000) x1  4 Pd 2.53, 2 Ti 2.58

Here is an optimized crystal structure of TlInPdPb2 from Alexandria via LeMat-Bulk. Energies are from GGA-PBE.

Summary:
- calculated volume (Å³/cell) = 154.7
- mass density (g cm⁻³) = 9.0
- crystal system = tetragonal
- total energy (hartree per atom) = -0.130

Cell lengths 5.4363, 5.4363, 5.2330 Å; angles 90.00, 90.00, 90.00 degrees
Last column: nearest neighbours and their distance in Å.
Space group P4/mmm (No. 123)
Inequivalent atoms, fractional coordinates:
Tl (0.0000, 0.0000, 0.0000) x1  8 Pb 3.77, 4 In 3.84
In (0.5000, 0.5000, 0.0000) x1  2 Pd 2.62
Pd (0.5000, 0.5000, 0.5000) x1  2 In 2.62, 4 Pb 2.72
Pb (0.0000, 0.5000, 0.5000) x2  2 Pd 2.72